A plane-wave DFT calculation with GGA-PBE was carried out for a relaxed Ho2PdPt crystal.

Structure (POSCAR):
```
Ho2PdPt
1.0
5.570 0.000 0.000
0.000 4.510 0.000
-2.484 0.000 7.002
Ho Pd Pt
4 2 2
Direct
0.221 0.250 0.434
0.228 0.250 0.928
0.772 0.750 0.072
0.779 0.750 0.566
0.319 0.750 0.205
0.681 0.250 0.795
0.330 0.750 0.707
0.670 0.250 0.293
```

Properties
Space-group type: P2_1/m, No. 11
VASP energy (eV/atom): -6.228
Calculated density (g cm⁻³): 11.9
ΔH_f (0 K) (eV/atom): -1.13